An optimized crystal structure of CsK3Bi. Source: Alexandria via LeMat-Bulk, functional GGA-PBEsol.

Structure (POSCAR):
```
CsK3Bi
1.0
6.6621 0.0000 0.0000
0.0000 6.6621 0.0000
0.0000 0.0000 6.6621
Cs K Bi
1 3 1
Direct
0.0000 0.0000 0.0000
0.0000 0.0000 0.5000
0.0000 0.5000 0.0000
0.5000 0.0000 0.0000
0.5000 0.5000 0.5000
```

Results
DFT formation energy, eV per atom: 0.54
DOS at the Fermi energy, states/eV per atom: 0.70


An optimized crystal structure of CsK2Bi2. Source: Alexandria via LeMat-Bulk, functional GGA-PBEsol.

Structure (POSCAR):
```
CsK2Bi2
1.0
9.5571 0.0000 0.0000
0.0000 9.5571 0.0000
0.0000 0.0000 4.9318
Cs K Bi
2 4 4
Direct
0.0000 0.0000 0.0000
0.5000 0.5000 0.0000
0.1674 0.3326 0.5000
0.3326 0.8326 0.5000
0.6674 0.1674 0.5000
0.8326 0.6674 0.5000
0.1101 0.6101 0.0000
0.3899 0.1101 0.0000
0.6101 0.8899 0.0000
0.8899 0.3899 0.0000
```

Results
DFT formation energy, eV per atom: -0.29
DOS at the Fermi energy, states/eV per atom: 0.71
Relative energy among the computed polymorphs, eV per atom: 0.000


An optimized crystal structure of CsLi2Bi2. Source: Alexandria via LeMat-Bulk, functional GGA-PBEsol.

Structure (POSCAR):
```
CsLi2Bi2
1.0
-2.6188 2.6188 5.6343
2.6188 -2.6188 5.6343
2.6188 2.6188 -5.6343
Cs Li Bi
1 2 2
Direct
0.0000 0.0000 0.0000
0.2500 0.7500 0.5000
0.7500 0.2500 0.5000
0.3684 0.3684 0.0000
0.6316 0.6316 0.0000
```

Results
DFT formation energy, eV per atom: -0.38
DOS at the Fermi energy, states/eV per atom: 0.71


An optimized crystal structure of Cs2MgBi. Source: Alexandria via LeMat-Bulk, functional GGA-PBEsol.

Structure (POSCAR):
```
Cs2MgBi
1.0
0.0000 4.4790 4.4790
4.4790 0.0000 4.4790
4.4790 4.4790 0.0000
Cs Mg Bi
2 1 1
Direct
0.2500 0.2500 0.2500
0.7500 0.7500 0.7500
0.0000 0.0000 0.0000
0.5000 0.5000 0.5000
```

Results
DFT formation energy, eV per atom: 0.03
DOS at the Fermi energy, states/eV per atom: 1.28


An optimized crystal structure of CsMg2Bi2. Source: Alexandria via LeMat-Bulk, functional GGA-PBEsol.

Structure (POSCAR):
```
CsMg2Bi2
1.0
-2.4950 2.4950 6.7579
2.4950 -2.4950 6.7579
2.4950 2.4950 -6.7579
Cs Mg Bi
1 2 2
Direct
0.0000 0.0000 0.0000
0.2500 0.7500 0.5000
0.7500 0.2500 0.5000
0.3720 0.3720 0.0000
0.6280 0.6280 0.0000
```

Results
DFT formation energy, eV per atom: -0.37
DOS at the Fermi energy, states/eV per atom: 0.62


An optimized crystal structure of CsMgBi2Mo. Source: Alexandria via LeMat-Bulk, functional GGA-PBEsol.

Structure (POSCAR):
```
CsMgBi2Mo
1.0
5.5155 0.0000 0.0000
0.0000 5.5155 0.0000
0.0000 0.0000 5.8279
Cs Mg Bi Mo
1 1 2 1
Direct
0.0000 0.0000 0.0000
0.0000 0.0000 0.5000
0.0000 0.5000 0.5000
0.5000 0.0000 0.5000
0.5000 0.5000 0.0000
```

Results
DFT formation energy, eV per atom: 1.23
DOS at the Fermi energy, states/eV per atom: 0.56


An optimized crystal structure of CsMnBi3. Source: Alexandria via LeMat-Bulk, functional GGA-PBEsol.

Structure (POSCAR):
```
CsMnBi3
1.0
5.4411 0.0000 0.0000
0.0000 5.4411 0.0000
0.0000 0.0000 5.4411
Cs Mn Bi
1 1 3
Direct
0.0000 0.0000 0.0000
0.5000 0.5000 0.5000
0.0000 0.5000 0.5000
0.5000 0.0000 0.5000
0.5000 0.5000 0.0000
```

Results
DFT formation energy, eV per atom: 0.15
DOS at the Fermi energy, states/eV per atom: 0.73


An optimized crystal structure of CsMn2SiBi. Source: Alexandria via LeMat-Bulk, functional GGA-PBEsol.

Structure (POSCAR):
```
CsMn2SiBi
1.0
5.0172 0.0000 0.0000
0.0000 5.0172 0.0000
0.0000 0.0000 6.1422
Cs Mn Si Bi
1 2 1 1
Direct
0.0000 0.0000 0.0000
0.0000 0.5000 0.0000
0.5000 0.0000 0.0000
0.5000 0.5000 0.5000
0.0000 0.0000 0.5000
```

Results
DOS at the Fermi energy, states/eV per atom: 1.09
Formation energy without anion corrections, eV/atom: 2.41


An optimized crystal structure of CsBiMo3. Source: Alexandria via LeMat-Bulk, functional GGA-PBEsol.

Structure (POSCAR):
```
CsBiMo3
1.0
4.9104 0.0000 0.0000
0.0000 4.9104 0.0000
0.0000 0.0000 4.9104
Cs Bi Mo
1 1 3
Direct
0.0000 0.0000 0.0000
0.5000 0.5000 0.5000
0.0000 0.0000 0.5000
0.0000 0.5000 0.0000
0.5000 0.0000 0.0000
```

Results
DFT formation energy, eV per atom: 2.99
DOS at the Fermi energy, states/eV per atom: 1.47


An optimized crystal structure of CsBiMo2N. Source: Alexandria via LeMat-Bulk, functional GGA-PBEsol.

Structure (POSCAR):
```
CsBiMo2N
1.0
4.2303 0.0000 0.0000
0.0000 4.2303 0.0000
0.0000 0.0000 5.6842
Cs Bi Mo N
1 1 2 1
Direct
0.0000 0.0000 0.0000
0.5000 0.5000 0.0000
0.0000 0.5000 0.5000
0.5000 0.0000 0.5000
0.0000 0.0000 0.5000
```

Results
DOS at the Fermi energy, states/eV per atom: 1.06
Formation energy without anion corrections, eV/atom: 1.00


An optimized crystal structure of CsBiMoS2. Source: Alexandria via LeMat-Bulk, functional GGA-PBEsol.

Structure (POSCAR):
```
CsBiMoS2
1.0
4.8071 0.0000 0.0000
0.0000 4.8071 0.0000
0.0000 0.0000 5.4551
Cs Bi Mo S
1 1 1 2
Direct
0.0000 0.0000 0.0000
0.5000 0.5000 0.0000
0.5000 0.5000 0.5000
0.0000 0.5000 0.5000
0.5000 0.0000 0.5000
```

Results
DOS at the Fermi energy, states/eV per atom: 0.71
Formation energy without anion corrections, eV/atom: -0.19


An optimized crystal structure of CsBiTe2Mo. Source: Alexandria via LeMat-Bulk, functional GGA-PBEsol.

Structure (POSCAR):
```
CsBiTe2Mo
1.0
5.4506 0.0000 0.0000
0.0000 5.4506 0.0000
0.0000 0.0000 5.3812
Cs Bi Te Mo
1 1 2 1
Direct
0.0000 0.0000 0.0000
0.5000 0.5000 0.0000
0.0000 0.5000 0.5000
0.5000 0.0000 0.5000
0.5000 0.5000 0.5000
```

Results
DOS at the Fermi energy, states/eV per atom: 0.95
Formation energy without anion corrections, eV/atom: 0.05


An optimized crystal structure of Cs2BiSeN. Source: Alexandria via LeMat-Bulk, functional GGA-PBEsol.

Structure (POSCAR):
```
Cs2BiSeN
1.0
7.3214 0.0000 0.0000
0.0000 7.3214 0.0000
0.0000 0.0000 5.4830
Cs Bi Se N
2 1 1 1
Direct
0.0000 0.5000 0.0000
0.5000 0.0000 0.0000
0.0000 0.0000 0.0000
0.0000 0.0000 0.5000
0.5000 0.5000 0.5000
```

Results
DOS at the Fermi energy, states/eV per atom: 0.96
Formation energy without anion corrections, eV/atom: 0.70


An optimized crystal structure of CsBiTeN2. Source: Alexandria via LeMat-Bulk, functional GGA-PBEsol.

Structure (POSCAR):
```
CsBiTeN2
1.0
4.5289 0.0000 0.0000
0.0000 4.5289 0.0000
0.0000 0.0000 7.0201
Cs Bi Te N
1 1 1 2
Direct
0.0000 0.0000 0.0000
0.5000 0.5000 0.5000
0.0000 0.0000 0.5000
0.0000 0.5000 0.0000
0.5000 0.0000 0.0000
```

Results
DOS at the Fermi energy, states/eV per atom: 1.05
Formation energy without anion corrections, eV/atom: 2.02
Relative energy among the computed polymorphs, eV per atom: 0.890


An optimized crystal structure of CsBiTeN2. Source: Alexandria via LeMat-Bulk, functional GGA-PBEsol.

Structure (POSCAR):
```
CsBiTeN2
1.0
4.9079 0.0000 0.0000
0.0000 4.9079 0.0000
0.0000 0.0000 5.9719
Cs Bi Te N
1 1 1 2
Direct
0.0000 0.0000 0.0000
0.5000 0.5000 0.5000
0.5000 0.5000 0.0000
0.0000 0.5000 0.5000
0.5000 0.0000 0.5000
```

Results
DOS at the Fermi energy, states/eV per atom: 0.43
Formation energy without anion corrections, eV/atom: 1.13
Relative energy among the computed polymorphs, eV per atom: 0.000


An optimized crystal structure of CsNa2Bi2. Source: Alexandria via LeMat-Bulk, functional GGA-PBEsol.

Structure (POSCAR):
```
CsNa2Bi2
1.0
9.8225 0.0000 0.0000
0.0000 9.8225 0.0000
0.0000 0.0000 3.4197
Cs Na Bi
2 4 4
Direct
0.0000 0.0000 0.0000
0.5000 0.5000 0.0000
0.1282 0.3718 0.0000
0.3718 0.8718 0.0000
0.6282 0.1282 0.0000
0.8718 0.6282 0.0000
0.1624 0.6624 0.5000
0.3376 0.1624 0.5000
0.6624 0.8376 0.5000
0.8376 0.3376 0.5000
```

Results
DFT formation energy, eV per atom: -0.34
DOS at the Fermi energy, states/eV per atom: 0.47
Relative energy among the computed polymorphs, eV per atom: 0.000


An optimized crystal structure of CsNa3Bi. Source: Alexandria via LeMat-Bulk, functional GGA-PBEsol.

Structure (POSCAR):
```
CsNa3Bi
1.0
6.1638 0.0000 0.0000
0.0000 6.1638 0.0000
0.0000 0.0000 6.1638
Cs Na Bi
1 3 1
Direct
0.0000 0.0000 0.0000
0.0000 0.5000 0.5000
0.5000 0.0000 0.5000
0.5000 0.5000 0.0000
0.5000 0.5000 0.5000
```

Results
DFT formation energy, eV per atom: -0.20
DOS at the Fermi energy, states/eV per atom: 0.50


An optimized crystal structure of CsNaBi3. Source: Alexandria via LeMat-Bulk, functional GGA-PBEsol.

Structure (POSCAR):
```
CsNaBi3
1.0
5.6698 0.0000 0.0000
0.0000 5.6698 0.0000
0.0000 0.0000 5.6698
Cs Na Bi
1 1 3
Direct
0.0000 0.0000 0.0000
0.5000 0.5000 0.5000
0.0000 0.5000 0.5000
0.5000 0.0000 0.5000
0.5000 0.5000 0.0000
```

Results
DFT formation energy, eV per atom: 0.20
DOS at the Fermi energy, states/eV per atom: 0.67


An optimized crystal structure of CsNa2Bi2. Source: Alexandria via LeMat-Bulk, functional GGA-PBEsol.

Structure (POSCAR):
```
CsNa2Bi2
1.0
-2.7363 2.7363 6.3870
2.7363 -2.7363 6.3870
2.7363 2.7363 -6.3870
Cs Na Bi
1 2 2
Direct
0.0000 0.0000 0.0000
0.2500 0.7500 0.5000
0.7500 0.2500 0.5000
0.3855 0.3855 0.0000
0.6145 0.6145 0.0000
```

Results
DFT formation energy, eV per atom: -0.31
DOS at the Fermi energy, states/eV per atom: 0.70
Relative energy among the computed polymorphs, eV per atom: 0.030


An optimized crystal structure of CsYNiBi2. Source: Alexandria via LeMat-Bulk, functional GGA-PBEsol.

Structure (POSCAR):
```
CsYNiBi2
1.0
6.0868 0.0000 0.0000
0.0000 6.0868 0.0000
0.0000 0.0000 4.6710
Cs Y Ni Bi
1 1 1 2
Direct
0.0000 0.0000 0.0000
0.5000 0.5000 0.5000
0.0000 0.0000 0.5000
0.0000 0.5000 0.0000
0.5000 0.0000 0.0000
```

Results
DFT formation energy, eV per atom: 1.20
DOS at the Fermi energy, states/eV per atom: 0.79


An optimized crystal structure of CsBiO2. Source: Alexandria via LeMat-Bulk, functional GGA-PBEsol.

Structure (POSCAR):
```
CsBiO2
1.0
4.1333 -4.5994 0.0000
4.1333 4.5994 0.0000
-3.2678 0.0000 5.0154
Cs Bi O
2 2 4
Direct
0.1415 0.8585 0.7500
0.8585 0.1415 0.2500
0.4111 0.5889 0.2500
0.5889 0.4111 0.7500
0.2653 0.3744 0.7917
0.3744 0.2653 0.2917
0.6256 0.7347 0.7083
0.7347 0.6256 0.2083
```

Results
DOS at the Fermi energy, states/eV per atom: 0.00
Formation energy without anion corrections, eV/atom: -1.34


An optimized crystal structure of CsBiO2. Source: Alexandria via LeMat-Bulk, functional GGA-PBEsol.

Structure (POSCAR):
```
CsBiO2
1.0
1.8302 1.0567 7.7039
-1.8302 1.0567 7.7039
0.0000 -2.1134 7.7039
Cs Bi O
1 1 2
Direct
0.0000 0.0000 0.0000
0.5000 0.5000 0.5000
0.1150 0.1150 0.1150
0.8850 0.8850 0.8850
```

Results
DOS at the Fermi energy, states/eV per atom: 0.19
Formation energy without anion corrections, eV/atom: -1.01


An optimized crystal structure of Cs12Sn2Bi6O. Source: Alexandria via LeMat-Bulk, functional GGA-PBEsol.

Structure (POSCAR):
```
Cs12Sn2Bi6O
1.0
12.7649 0.0000 0.0000
-6.3825 11.0548 0.0000
0.0000 0.0000 6.5949
Cs Sn Bi O
12 2 6 1
Direct
0.0936 0.5468 0.2510
0.1111 0.2222 0.2262
0.1111 0.8889 0.2262
0.2222 0.1111 0.7738
0.4532 0.5468 0.2510
0.4532 0.9064 0.2510
0.5468 0.0936 0.7490
0.5468 0.4532 0.7490
0.7778 0.8889 0.2262
0.8889 0.1111 0.7738
0.8889 0.7778 0.7738
0.9064 0.4532 0.7490
0.3333 0.6667 0.7514
0.6667 0.3333 0.2486
0.2062 0.4124 0.7441
0.2062 0.7938 0.7441
0.4124 0.2062 0.2559
0.5876 0.7938 0.7441
0.7938 0.2062 0.2559
0.7938 0.5876 0.2559
0.0000 0.0000 0.0000
```

Results
Formation energy without anion corrections, eV/atom: -0.50


An optimized crystal structure of CsBi3Os. Source: Alexandria via LeMat-Bulk, functional GGA-PBEsol.

Structure (POSCAR):
```
CsBi3Os
1.0
6.0306 0.0000 0.0000
0.0000 6.0306 0.0000
0.0000 0.0000 6.0306
Cs Bi Os
1 3 1
Direct
0.0000 0.0000 0.0000
0.0000 0.0000 0.5000
0.0000 0.5000 0.0000
0.5000 0.0000 0.0000
0.5000 0.5000 0.5000
```

Results
DFT formation energy, eV per atom: 2.78
DOS at the Fermi energy, states/eV per atom: 1.60


An optimized crystal structure of CsBiP2S. Source: Alexandria via LeMat-Bulk, functional GGA-PBEsol.

Structure (POSCAR):
```
CsBiP2S
1.0
5.2958 0.0000 0.0000
0.0000 5.2958 0.0000
0.0000 0.0000 5.1802
Cs Bi P S
1 1 2 1
Direct
0.0000 0.0000 0.0000
0.5000 0.5000 0.5000
0.0000 0.5000 0.0000
0.5000 0.0000 0.0000
0.0000 0.0000 0.5000
```

Results
DOS at the Fermi energy, states/eV per atom: 0.83
Formation energy without anion corrections, eV/atom: 1.63


An optimized crystal structure of CsBi3Pb. Source: Alexandria via LeMat-Bulk, functional GGA-PBEsol.

Structure (POSCAR):
```
CsBi3Pb
1.0
6.0919 0.0000 0.0000
0.0000 6.0919 0.0000
0.0000 0.0000 6.0919
Cs Bi Pb
1 3 1
Direct
0.0000 0.0000 0.0000
0.0000 0.0000 0.5000
0.0000 0.5000 0.0000
0.5000 0.0000 0.0000
0.5000 0.5000 0.5000
```

Results
DFT formation energy, eV per atom: 1.26
DOS at the Fermi energy, states/eV per atom: 0.73
Relative energy among the computed polymorphs, eV per atom: 0.926


An optimized crystal structure of CsBi3Pb. Source: Alexandria via LeMat-Bulk, functional GGA-PBEsol.

Structure (POSCAR):
```
CsBi3Pb
1.0
5.9838 0.0000 0.0000
0.0000 5.9838 0.0000
0.0000 0.0000 5.9838
Cs Bi Pb
1 3 1
Direct
0.0000 0.0000 0.0000
0.0000 0.5000 0.5000
0.5000 0.0000 0.5000
0.5000 0.5000 0.0000
0.5000 0.5000 0.5000
```

Results
DFT formation energy, eV per atom: 0.34
DOS at the Fermi energy, states/eV per atom: 1.00
Relative energy among the computed polymorphs, eV per atom: 0.000